(1)
## NpGaHg (GGA-PBE)

Data for crystalline NpGaHg at its relaxed geometry.

```
NpGaHg
1.0
5.5386 -1.8012 0.0000
5.5386 1.8012 0.0000
-1.4914 0.0000 6.2962
Np Ga Hg
2 2 2
direct
0.1981 0.1981 0.0657 Np
0.8019 0.8019 0.9343 Np
0.4970 0.4970 0.2113 Ga
0.5030 0.5030 0.7887 Ga
0.1437 0.1437 0.5426 Hg
0.8563 0.8563 0.4574 Hg
```

Properties
total energy: -5.3955 eV/atom
theoretical density: 13.41 g/cm3
density of states at the Fermi level: 4.542 states/eV/f.u.
energy above the lowest structure with this stoichiometry: 20 meV per atom
ΔH_f (0 K): 3 kJ per mole of atoms
crystal system: monoclinic

***

(2)
## Ho9Tm4Zn11 (GGA-PBE)

Data for crystalline Ho9Tm4Zn11 at its relaxed geometry.

```
Ho9Tm4Zn11
1.0
7.6954 -10.4663 0.0000
7.6954 10.4663 0.0000
0.0000 0.0000 3.4157
Ho Tm Zn
9 4 11
direct
0.0000 0.0000 0.0000 Ho
0.1232 0.6493 0.0000 Ho
0.2952 0.4774 0.0000 Ho
0.3507 0.8768 0.0000 Ho
0.4774 0.2952 0.0000 Ho
0.5226 0.7048 0.0000 Ho
0.6493 0.1232 0.0000 Ho
0.7048 0.5226 0.0000 Ho
0.8768 0.3507 0.0000 Ho
0.0825 0.2555 0.0000 Tm
0.2555 0.0825 0.0000 Tm
0.7445 0.9175 0.0000 Tm
0.9175 0.7445 0.0000 Tm
0.0832 0.4462 0.5000 Zn
0.1296 0.8704 0.5000 Zn
0.2815 0.2815 0.5000 Zn
0.3245 0.6755 0.5000 Zn
0.4462 0.0832 0.5000 Zn
0.5000 0.5000 0.5000 Zn
0.5538 0.9168 0.5000 Zn
0.6755 0.3245 0.5000 Zn
0.7185 0.7185 0.5000 Zn
0.8704 0.1296 0.5000 Zn
0.9168 0.5538 0.5000 Zn
```

Properties
total energy: -3.2923 eV/atom
theoretical density: 8.69 g/cm3
density of states at the Fermi level: 25.220 states/eV/f.u.
ΔH_f (0 K): -24 kJ per mole of atoms
crystal system: orthorhombic

***

(3)
## Ac2Np2Te7 (GGA-PBE)

Data for crystalline Ac2Np2Te7 at its relaxed geometry.

```
Ac2Np2Te7
1.0
4.9991 -5.6715 0.0000
4.9991 5.6715 0.0000
0.0000 0.0000 7.6313
Ac Np Te
2 2 7
direct
0.2432 0.2432 0.0000 Ac
0.7568 0.7568 0.0000 Ac
0.2326 0.7674 0.5000 Np
0.7674 0.2326 0.5000 Np
0.0000 0.0000 0.2728 Te
0.0000 0.0000 0.7272 Te
0.0000 0.5000 0.2490 Te
0.0000 0.5000 0.7510 Te
0.5000 0.0000 0.2490 Te
0.5000 0.0000 0.7510 Te
0.5000 0.5000 0.5000 Te
```

Properties
total energy: -5.9433 eV/atom
theoretical density: 6.99 g/cm3
density of states at the Fermi level: 21.690 states/eV/f.u.
ΔE_f (raw): -0.844 eV/atom
crystal system: orthorhombic

***

(4)
## TaAg2As (GGA-PBE)

Data for crystalline TaAg2As at its relaxed geometry.

```
TaAg2As
1.0
-1.8935 1.8935 5.0365
1.8935 -1.8935 5.0365
1.8935 1.8935 -5.0365
Ta Ag As
1 2 1
direct
0.0000 0.0000 0.0000 Ta
0.2500 0.7500 0.5000 Ag
0.7500 0.2500 0.5000 Ag
0.5000 0.5000 0.0000 As
```

Properties
total energy: -5.2756 eV/atom
theoretical density: 10.84 g/cm3
density of states at the Fermi level: 3.021 states/eV/f.u.
ΔH_f (0 K): 27 kJ per mole of atoms
crystal system: tetragonal

***

(5)
## ZrTcHg3 (GGA-PBE)

Data for crystalline ZrTcHg3 at its relaxed geometry.

```
ZrTcHg3
1.0
5.1244 0.0000 0.0000
0.0000 5.1244 0.0000
0.0000 0.0000 5.1244
Zr Tc Hg
1 1 3
direct
0.0000 0.0000 0.0000 Zr
0.5000 0.5000 0.5000 Tc
0.0000 0.5000 0.5000 Hg
0.5000 0.0000 0.5000 Hg
0.5000 0.5000 0.0000 Hg
```

Properties
total energy: -2.9121 eV/atom
theoretical density: 9.76 g/cm3
density of states at the Fermi level: 3.516 states/eV/f.u.
energy above the lowest structure with this stoichiometry: 0 meV per atom
ΔH_f (0 K): 101 kJ per mole of atoms
crystal system: cubic

***

(6)
## Pm4NiSeCl2 (GGA-PBE)

Data for crystalline Pm4NiSeCl2 at its relaxed geometry.

```
Pm4NiSeCl2
1.0
7.2330 0.0000 0.0000
0.0000 3.9965 0.0000
-2.3439 0.0000 7.0455
Pm Ni Se Cl
4 1 1 2
direct
0.2155 0.0000 0.2169 Pm
0.2324 0.5000 0.7599 Pm
0.7676 0.5000 0.2401 Pm
0.7845 0.0000 0.7831 Pm
0.0000 0.5000 0.0000 Ni
0.0000 0.0000 0.5000 Se
0.5000 0.0000 0.0000 Cl
0.5000 0.5000 0.5000 Cl
```

Properties
total energy: -5.2582 eV/atom
theoretical density: 6.43 g/cm3
density of states at the Fermi level: 3.572 states/eV/f.u.
ΔE_f (raw): -1.263 eV/atom
crystal system: monoclinic

***

(7)
## NdGaCu2Ni2 (GGA-PBE)

Data for crystalline NdGaCu2Ni2 at its relaxed geometry.

```
NdGaCu2Ni2
1.0
4.3736 0.0000 0.0000
0.0000 4.3736 0.0000
0.0000 0.0000 5.5652
Nd Ga Cu Ni
1 1 2 2
direct
0.0000 0.0000 0.0000 Nd
0.0000 0.0000 0.5000 Ga
0.5000 0.5000 0.2514 Cu
0.5000 0.5000 0.7486 Cu
0.0000 0.5000 0.5000 Ni
0.5000 0.0000 0.5000 Ni
```

Properties
total energy: -4.4865 eV/atom
theoretical density: 7.15 g/cm3
density of states at the Fermi level: 6.456 states/eV/f.u.
ΔH_f (0 K): 10 kJ per mole of atoms
crystal system: tetragonal

***

(8)
## BeSi2 (GGA-PBE)

Data for crystalline BeSi2 at its relaxed geometry.

```
BeSi2
1.0
5.6631 -1.3192 0.0000
5.6631 1.3192 0.0000
-3.1337 0.0000 5.2925
Be Si
2 4
direct
0.0000 0.0000 0.0000 Be
0.6510 0.6510 0.3342 Be
0.2146 0.2146 0.0284 Si
0.2922 0.2922 0.7021 Si
0.5045 0.5045 0.6772 Si
0.9405 0.9405 0.2926 Si
```

Properties
total energy: -4.4429 eV/atom
theoretical density: 2.74 g/cm3
density of states at the Fermi level: 0.630 states/eV/f.u.
energy above the lowest structure with this stoichiometry: 157 meV per atom
ΔE_f (raw): 0.414 eV/atom
crystal system: monoclinic

***

(9)
## IrC (GGA-PBE)

Data for crystalline IrC at its relaxed geometry.

```
IrC
1.0
8.8476 0.0000 0.0000
0.0000 3.3693 0.0000
0.0000 0.0000 5.6110
Ir C
6 6
direct
0.0000 0.0675 0.0000 Ir
0.2194 0.6382 0.7307 Ir
0.2806 0.3618 0.2307 Ir
0.5000 0.9325 0.5000 Ir
0.7194 0.3618 0.2307 Ir
0.7806 0.6382 0.7307 Ir
0.0000 0.5499 0.7808 C
0.2078 0.8665 0.0834 C
0.2922 0.1335 0.5834 C
0.5000 0.4501 0.2808 C
0.7078 0.1335 0.5834 C
0.7922 0.8665 0.0834 C
```

Properties
total energy: -8.1922 eV/atom
theoretical density: 12.16 g/cm3
density of states at the Fermi level: 0.697 states/eV/f.u.
energy above the lowest structure with this stoichiometry: 393 meV per atom
ΔH_f (0 K): 82 kJ per mole of atoms
crystal system: orthorhombic

***

(10)
## Tm2AlPd (GGA-PBE)

Data for crystalline Tm2AlPd at its relaxed geometry.

```
Tm2AlPd
1.0
0.0000 3.5270 3.5270
3.5270 0.0000 3.5270
3.5270 3.5270 0.0000
Tm Al Pd
2 1 1
direct
0.2500 0.2500 0.2500 Tm
0.7500 0.7500 0.7500 Tm
0.0000 0.0000 0.0000 Al
0.5000 0.5000 0.5000 Pd
```

Properties
total energy: -5.0802 eV/atom
theoretical density: 8.92 g/cm3
density of states at the Fermi level: 3.494 states/eV/f.u.
energy above the lowest structure with this stoichiometry: 62 meV per atom
ΔH_f (0 K): -59 kJ per mole of atoms
crystal system: cubic

***

(11)
## Cd3SiO (GGA-PBE)

Data for crystalline Cd3SiO at its relaxed geometry.

```
Cd3SiO
1.0
4.6116 0.0000 0.0000
0.0000 4.6116 0.0000
0.0000 0.0000 4.6116
Cd Si O
3 1 1
direct
0.0000 0.0000 0.5000 Cd
0.0000 0.5000 0.0000 Cd
0.5000 0.0000 0.0000 Cd
0.5000 0.5000 0.5000 Si
0.0000 0.0000 0.0000 O
```

Properties
total energy: -2.5581 eV/atom
theoretical density: 6.46 g/cm3
density of states at the Fermi level: 2.004 states/eV/f.u.
energy above the lowest structure with this stoichiometry: 0 meV per atom
ΔE_f (raw): 0.067 eV/atom
crystal system: cubic

***

(12)
## LiGaCuPd (GGA-PBE)

Data for crystalline LiGaCuPd at its relaxed geometry.

```
LiGaCuPd
1.0
0.0000 2.9999 2.9999
2.9999 0.0000 2.9999
2.9999 2.9999 0.0000
Li Ga Cu Pd
1 1 1 1
direct
0.0000 0.0000 0.0000 Li
0.5000 0.5000 0.5000 Ga
0.2500 0.2500 0.2500 Cu
0.7500 0.7500 0.7500 Pd
```

Properties
total energy: -3.9976 eV/atom
theoretical density: 7.58 g/cm3
density of states at the Fermi level: 0.930 states/eV/f.u.
ΔH_f (0 K): -42 kJ per mole of atoms
crystal system: cubic

***

(13)
## LiFeCo (GGA-PBE)

Data for crystalline LiFeCo at its relaxed geometry.

```
LiFeCo
1.0
2.5481 0.0000 0.0000
0.0095 4.4687 0.0000
1.2677 1.8083 6.1032
Li Fe Co
2 2 2
direct
0.1646 0.4665 0.1712 Li
0.8354 0.5335 0.8288 Li
0.3352 0.0372 0.8274 Fe
0.6648 0.9628 0.1726 Fe
0.0000 0.0000 0.5000 Co
0.5000 0.5000 0.5000 Co
```

Properties
total energy: -5.6514 eV/atom
theoretical density: 5.82 g/cm3
density of states at the Fermi level: 2.652 states/eV/f.u.
energy above the lowest structure with this stoichiometry: 51 meV per atom
ΔH_f (0 K): 17 kJ per mole of atoms
crystal system: triclinic

***

(14)
## LaCu4Ni2 (GGA-PBE)

Data for crystalline LaCu4Ni2 at its relaxed geometry.

```
LaCu4Ni2
1.0
-3.5028 3.5028 2.6455
3.5028 -3.5028 2.6455
3.5028 3.5028 -2.6455
La Cu Ni
1 4 2
direct
0.0000 0.0000 0.0000 La
0.2678 0.5000 0.7678 Cu
0.5000 0.2678 0.7678 Cu
0.5000 0.7322 0.2322 Cu
0.7322 0.5000 0.2322 Cu
0.2500 0.7500 0.5000 Ni
0.7500 0.2500 0.5000 Ni
```

Properties
total energy: -4.3638 eV/atom
theoretical density: 6.53 g/cm3
density of states at the Fermi level: 4.550 states/eV/f.u.
energy above the lowest structure with this stoichiometry: 455 meV per atom
ΔH_f (0 K): 32 kJ per mole of atoms
crystal system: tetragonal

***

(15)
## Zr5Zn4 (GGA-PBE)

Data for crystalline Zr5Zn4 at its relaxed geometry.

```
Zr5Zn4
1.0
8.3652 0.0000 0.0000
-4.1826 7.2445 0.0000
0.0000 0.0000 5.7537
Zr Zn
10 8
direct
0.0000 0.2976 0.2500 Zr
0.0000 0.7024 0.7500 Zr
0.2976 0.0000 0.2500 Zr
0.2976 0.2976 0.7500 Zr
0.3333 0.6667 0.0000 Zr
0.3333 0.6667 0.5000 Zr
0.6667 0.3333 0.0000 Zr
0.6667 0.3333 0.5000 Zr
0.7024 0.0000 0.7500 Zr
0.7024 0.7024 0.2500 Zr
0.0000 0.0000 0.0000 Zn
0.0000 0.0000 0.5000 Zn
0.0000 0.3628 0.7500 Zn
0.0000 0.6372 0.2500 Zn
0.3628 0.0000 0.7500 Zn
0.3628 0.3628 0.2500 Zn
0.6372 0.0000 0.2500 Zn
0.6372 0.6372 0.7500 Zn
```

Properties
total energy: -5.5150 eV/atom
theoretical density: 6.84 g/cm3
density of states at the Fermi level: 10.026 states/eV/f.u.
energy above the lowest structure with this stoichiometry: 0 meV per atom
ΔH_f (0 K): -19 kJ per mole of atoms
crystal system: hexagonal

***

(16)
## ErThReNi (GGA-PBE)

Data for crystalline ErThReNi at its relaxed geometry.

```
ErThReNi
1.0
0.0000 3.4638 3.4638
3.4638 0.0000 3.4638
3.4638 3.4638 0.0000
Er Th Re Ni
1 1 1 1
direct
0.0000 0.0000 0.0000 Er
0.5000 0.5000 0.5000 Th
0.7500 0.7500 0.7500 Re
0.2500 0.2500 0.2500 Ni
```

Properties
total energy: -7.6691 eV/atom
theoretical density: 12.87 g/cm3
density of states at the Fermi level: 2.725 states/eV/f.u.
ΔH_f (0 K): -11 kJ per mole of atoms
crystal system: cubic

***

(17)
## TbHo3Er6 (GGA-PBE)

Data for crystalline TbHo3Er6 at its relaxed geometry.

```
TbHo3Er6
1.0
4.7484 -10.3600 0.0000
4.7484 10.3600 0.0000
0.0000 0.0000 6.2978
Tb Ho Er
2 6 12
direct
0.1619 0.8381 0.5000 Tb
0.8381 0.1619 0.0000 Tb
0.0419 0.2963 0.5256 Ho
0.2963 0.0419 0.0256 Ho
0.4198 0.5802 0.4194 Ho
0.5802 0.4198 0.9194 Ho
0.7037 0.9581 0.5256 Ho
0.9581 0.7037 0.0256 Ho
0.0149 0.9851 0.6951 Er
0.1048 0.5426 0.1847 Er
0.2579 0.3787 0.9451 Er
0.3016 0.6984 0.7265 Er
0.3787 0.2579 0.4451 Er
0.4574 0.8952 0.1847 Er
0.5426 0.1048 0.6847 Er
0.6213 0.7421 0.9451 Er
0.6984 0.3016 0.2265 Er
0.7421 0.6213 0.4451 Er
0.8952 0.4574 0.6847 Er
0.9851 0.0149 0.1951 Er
```

Properties
total energy: -4.4499 eV/atom
theoretical density: 8.88 g/cm3
density of states at the Fermi level: 14.943 states/eV/f.u.
energy above the lowest structure with this stoichiometry: 0 meV per atom
ΔH_f (0 K): 12 kJ per mole of atoms
crystal system: orthorhombic

***

(18)
## Li6AgCl8 (GGA-PBE)

Data for crystalline Li6AgCl8 at its relaxed geometry.

```
Li6AgCl8
1.0
4.3852 2.5318 4.5479
-4.3852 2.5318 4.5479
0.0000 -5.0636 4.5479
Li Ag Cl
6 1 8
direct
0.1028 0.5056 0.6834 Li
0.3166 0.8972 0.4944 Li
0.4944 0.3166 0.8972 Li
0.5056 0.6834 0.1028 Li
0.6834 0.1028 0.5056 Li
0.8972 0.4944 0.3166 Li
0.0000 0.0000 0.0000 Ag
0.1756 0.6681 0.3379 Cl
0.1776 0.1776 0.1776 Cl
0.3319 0.6621 0.8244 Cl
0.3379 0.1756 0.6681 Cl
0.6621 0.8244 0.3319 Cl
0.6681 0.3379 0.1756 Cl
0.8224 0.8224 0.8224 Cl
0.8244 0.3319 0.6621 Cl
```

Properties
total energy: -3.3626 eV/atom
theoretical density: 2.37 g/cm3
density of states at the Fermi level: 4.372 states/eV/f.u.
ΔE_f (raw): -1.422 eV/atom
crystal system: trigonal

***

(19)
## RbTlI2O (GGA-PBE)

Data for crystalline RbTlI2O at its relaxed geometry.

```
RbTlI2O
1.0
6.8721 0.0000 0.0000
0.0000 6.8721 0.0000
0.0000 0.0000 5.2001
Rb Tl I O
1 1 2 1
direct
0.0000 0.0000 0.0000 Rb
0.5000 0.5000 0.5000 Tl
0.0000 0.5000 0.0000 I
0.5000 0.0000 0.0000 I
0.0000 0.0000 0.5000 O
```

Properties
total energy: -2.4165 eV/atom
theoretical density: 3.78 g/cm3
density of states at the Fermi level: 9.209 states/eV/f.u.
energy above the lowest structure with this stoichiometry: 545 meV per atom
ΔE_f (raw): -0.138 eV/atom
crystal system: tetragonal

***

(20)
## NbRhI3 (GGA-PBE)

Data for crystalline NbRhI3 at its relaxed geometry.

```
NbRhI3
1.0
5.3550 0.0000 0.0000
0.0000 5.3550 0.0000
0.0000 0.0000 5.3550
Nb Rh I
1 1 3
direct
0.0000 0.0000 0.0000 Nb
0.5000 0.5000 0.5000 Rh
0.0000 0.5000 0.5000 I
0.5000 0.0000 0.5000 I
0.5000 0.5000 0.0000 I
```

Properties
total energy: -3.6416 eV/atom
theoretical density: 6.23 g/cm3
density of states at the Fermi level: 5.764 states/eV/f.u.
energy above the lowest structure with this stoichiometry: 0 meV per atom
ΔE_f (raw): 0.773 eV/atom
crystal system: cubic